TiCo2O6: relaxed, PBE+U.

E_tot: -6.69 eV/atom
Space-group type: C2/m (12)

a = 6.6431 Å, b = 6.6431 Å, c = 6.0651 Å
α = 73.11°, β = 73.11°, γ = 25.38°
Last column: magnetic moment on the atom in μB.
Fractional positions:
1 Ti 0.0000 0.0000 0.5000  0.02
2 Co 0.3310 0.3310 0.8358  1.17
3 Co 0.6690 0.6690 0.1642  1.17
4 O 0.8398 0.8398 0.6284  -0.04
5 O 0.5157 0.5157 0.2758  0.00
6 O 0.1806 0.1806 0.9552  -0.10
7 O 0.4843 0.4843 0.7242  0.00
8 O 0.1602 0.1602 0.3716  -0.04
9 O 0.8194 0.8194 0.0448  -0.10

Ti2CoO4: relaxed, PBE+U.

E_tot: -8.19 eV/atom
Space-group type: I4_1/amd (141)

a = 6.0297 Å, b = 6.0297 Å, c = 6.0302 Å
α = 119.95°, β = 119.96°, γ = 90.07°
Last column: magnetic moment on the atom in μB.
Fractional positions:
1 Ti 0.6250 0.3750 0.7500  -0.62
2 Ti 0.6250 0.8750 0.2500  -0.62
3 Ti 0.6250 0.3750 0.2500  -0.62
4 Ti 0.1250 0.3750 0.7500  -0.62
5 Co 0.2500 0.7500 0.5000  2.52
6 Co 0.0000 0.0000 0.0000  2.52
7 O 0.8662 0.1344 0.2686  0.03
8 O 0.3838 0.6156 0.2314  0.03
9 O 0.8659 0.5976 0.7314  0.03
10 O 0.8656 0.1338 0.7315  0.03
11 O 0.4023 0.1341 0.2685  0.03
12 O 0.3841 0.1524 0.7686  0.03
13 O 0.3844 0.6162 0.7685  0.03
14 O 0.8477 0.6159 0.2315  0.03

Ti3Co3O: relaxed, PBE+U.

E_tot: -6.87 eV/atom
Space-group type: Fd-3m (227)

a = 7.8757 Å, b = 7.8757 Å, c = 7.8757 Å
α = 60.00°, β = 60.00°, γ = 60.00°
Last column: magnetic moment on the atom in μB.
Fractional positions:
1 Ti 0.0606 0.4394 0.4394  -0.21
2 Ti 0.8106 0.1894 0.8106  -0.21
3 Ti 0.1894 0.8106 0.1894  -0.21
4 Ti 0.8106 0.1894 0.1894  -0.21
5 Ti 0.1894 0.1894 0.8106  -0.21
6 Ti 0.8106 0.8106 0.1894  -0.21
7 Ti 0.0606 0.0606 0.4394  -0.21
8 Ti 0.4394 0.0606 0.4394  -0.21
9 Ti 0.0606 0.4394 0.0606  -0.21
10 Ti 0.4394 0.4394 0.0606  -0.21
11 Ti 0.1894 0.8106 0.8106  -0.21
12 Ti 0.4394 0.0606 0.0606  -0.21
13 Co 0.6250 0.6250 0.1250  1.87
14 Co 0.1250 0.6250 0.6250  1.87
15 Co 0.6250 0.1250 0.6250  1.87
16 Co 0.6250 0.6250 0.6250  1.87
17 Co 0.4203 0.4203 0.7392  1.74
18 Co 0.5108 0.8297 0.8297  1.74
19 Co 0.8297 0.5108 0.8297  1.74
20 Co 0.8297 0.8297 0.8297  1.74
21 Co 0.4203 0.7392 0.4203  1.74
22 Co 0.4203 0.4203 0.4203  1.74
23 Co 0.7392 0.4203 0.4203  1.74
24 Co 0.8297 0.8297 0.5108  1.74
25 O 0.1250 0.1250 0.6250  0.00
26 O 0.6250 0.1250 0.1250  0.00
27 O 0.1250 0.6250 0.1250  0.00
28 O 0.1250 0.1250 0.1250  0.00

TiCoWO6: relaxed, PBE+U.

E_tot: -7.64 eV/atom
Space-group type: P-31c (163)

a = 5.1087 Å, b = 5.1087 Å, c = 9.0430 Å
α = 90.00°, β = 90.00°, γ = 120.00°
Last column: magnetic moment on the atom in μB.
Fractional positions:
1 Ti 0.6667 0.3333 0.2500  0.03
2 Ti 0.3333 0.6667 0.7500  0.03
3 Co 0.0000 0.0000 0.0000  2.75
4 Co 0.0000 0.0000 0.5000  2.75
5 W 0.3333 0.6667 0.2500  0.04
6 W 0.6667 0.3333 0.7500  0.04
7 O 0.6462 0.6500 0.1334  0.02
8 O 0.0038 0.3538 0.1334  0.02
9 O 0.3538 0.0038 0.6334  0.02
10 O 0.9962 0.6462 0.8666  0.02
11 O 0.3500 0.3538 0.3666  0.02
12 O 0.0038 0.6500 0.3666  0.02
13 O 0.6500 0.0038 0.8666  0.02
14 O 0.6462 0.9962 0.3666  0.02
15 O 0.9962 0.3500 0.6334  0.02
16 O 0.3500 0.9962 0.1334  0.02
17 O 0.6500 0.6462 0.6334  0.02
18 O 0.3538 0.3500 0.8666  0.02

YTiCo2O: relaxed, PBE+U.

E_tot: -5.23 eV/atom
Space-group type: P4/mmm (123)

a = 4.9719 Å, b = 4.1568 Å, c = 4.9719 Å
α = 90.00°, β = 90.00°, γ = 90.00°
Last column: magnetic moment on the atom in μB.
Fractional positions:
1 Y 0.0000 0.0000 0.0000  -0.15
2 Co 0.0000 0.0000 0.5000  1.71
3 Co 0.5000 0.0000 0.0000  1.80
4 O 0.0000 0.5000 0.0000  0.01
5 Ti 0.5000 0.5000 0.5000  -1.52

Ti2ZnCoO6: relaxed, PBE+U.

E_tot: -7.43 eV/atom
Space-group type: C2/c (15)

a = 5.3828 Å, b = 6.7707 Å, c = 6.7707 Å
α = 85.62°, β = 80.96°, γ = 80.96°
Last column: magnetic moment on the atom in μB.
Fractional positions:
1 Ti 0.2038 0.7861 0.6005  0.04
2 Ti 0.2962 0.3995 0.2139  0.04
3 Ti 0.7962 0.2139 0.3995  0.04
4 Ti 0.7038 0.6005 0.7861  0.04
5 Zn 0.2500 0.2585 0.7415  0.00
6 Zn 0.7500 0.7415 0.2585  0.00
7 Co 0.2500 0.9113 0.0887  2.72
8 Co 0.7500 0.0887 0.9113  2.72
9 O 0.1271 0.9729 0.7934  0.04
10 O 0.3729 0.2066 0.0271  0.04
11 O 0.8729 0.0271 0.2066  0.04
12 O 0.6271 0.7934 0.9729  0.04
13 O 0.3818 0.8615 0.3704  0.02
14 O 0.1182 0.6296 0.1385  0.02
15 O 0.6182 0.1385 0.6296  0.02
16 O 0.8818 0.3704 0.8615  0.02
17 O 0.8956 0.7091 0.5612  0.00
18 O 0.6044 0.4388 0.2909  0.00
19 O 0.1044 0.2909 0.4388  0.00
20 O 0.3956 0.5612 0.7091  0.00

TlCoO2: relaxed, PBE+U.

E_tot: -5.08 eV/atom
Space-group type: I-42d (122)

a = 5.5916 Å, b = 5.5916 Å, c = 5.8499 Å
α = 61.45°, β = 61.45°, γ = 90.00°
Last column: magnetic moment on the atom in μB.
Fractional positions:
1 Tl 0.0000 0.0000 0.0000  0.02
2 Tl 0.7500 0.2500 0.5000  0.02
3 Co 0.5000 0.5000 0.0000  3.04
4 Co 0.2500 0.7500 0.5000  3.03
5 O 0.4928 0.1250 0.2500  0.37
6 O 0.2572 0.6250 0.2500  0.37
7 O 0.3750 0.5072 0.7500  0.39
8 O 0.8750 0.7428 0.7500  0.39

TlCoO: relaxed, PBE+U.

E_tot: -4.58 eV/atom
Space-group type: Cmcm (63)

a = 4.6881 Å, b = 10.5008 Å, c = 5.4535 Å
α = 90.00°, β = 90.00°, γ = 90.00°
Last column: magnetic moment on the atom in μB.
Fractional positions:
1 Tl 0.0000 0.8552 0.2500  -0.04
2 Tl 0.0000 0.1448 0.7500  -0.04
3 Tl 0.5000 0.3552 0.2500  -0.04
4 Tl 0.5000 0.6448 0.7500  -0.04
5 Co 0.0000 0.5000 0.0000  2.02
6 Co 0.0000 0.5000 0.5000  2.02
7 Co 0.5000 0.0000 0.0000  2.02
8 Co 0.5000 0.0000 0.5000  2.02
9 O 0.0000 0.6130 0.2500  0.10
10 O 0.0000 0.3870 0.7500  0.10
11 O 0.5000 0.1130 0.2500  0.10
12 O 0.5000 0.8870 0.7500  0.10

TlCoO: relaxed, PBE+U.

E_tot: -4.53 eV/atom
Space-group type: R3m (160)

a = 3.3462 Å, b = 3.3462 Å, c = 16.8449 Å
α = 90.00°, β = 90.00°, γ = 120.00°
Last column: magnetic moment on the atom in μB.
Fractional positions:
1 Tl 0.0000 0.0000 0.5526  -0.07
2 Tl 0.3333 0.6667 0.2192  -0.07
3 Tl 0.6667 0.3333 0.8859  -0.07
4 Co 0.0000 0.0000 0.7312  2.52
5 Co 0.3333 0.6667 0.3978  2.52
6 Co 0.6667 0.3333 0.0645  2.52
7 O 0.0000 0.0000 0.0479  0.08
8 O 0.3333 0.6667 0.7145  0.08
9 O 0.6667 0.3333 0.3812  0.08

TlCoO: relaxed, PBE+U.

E_tot: -4.59 eV/atom
Space-group type: P2_1/m (11)

a = 4.6320 Å, b = 5.4005 Å, c = 5.2056 Å
α = 90.00°, β = 103.27°, γ = 90.00°
Last column: magnetic moment on the atom in μB.
Fractional positions:
1 Tl 0.5447 0.0000 0.0785  -0.04
2 Tl 0.8183 0.5000 0.7471  -0.04
3 Co 0.1818 0.2500 0.4129  2.02
4 Co 0.1818 0.7500 0.4129  2.02
5 O 0.1548 0.0000 0.6375  0.10
6 O 0.2086 0.5000 0.1882  0.10

TlCoO: relaxed, PBE+U.

E_tot: -4.51 eV/atom
Space-group type: P-1 (2)

a = 3.0300 Å, b = 4.6501 Å, c = 7.5512 Å
α = 93.52°, β = 102.16°, γ = 90.00°
Last column: magnetic moment on the atom in μB.
Fractional positions:
1 Tl 0.8134 0.2604 0.1625  -0.03
2 Tl 0.1866 0.7396 0.8375  -0.03
3 Co 0.5000 0.5000 0.5000  2.08
4 Co 0.0000 0.0000 0.5000  0.47
5 O 0.4315 0.8176 0.3685  0.03
6 O 0.5685 0.1824 0.6315  0.03

TlCo2O: relaxed, PBE+U.

E_tot: -3.63 eV/atom
Space-group type: Fm-3m (225)

a = 4.3704 Å, b = 4.3704 Å, c = 4.3704 Å
α = 60.00°, β = 60.00°, γ = 60.00°
Last column: magnetic moment on the atom in μB.
Fractional positions:
1 Tl 0.5000 0.5000 0.5000  -0.16
2 Co 0.2500 0.2500 0.2500  2.15
3 Co 0.7500 0.7500 0.7500  2.15
4 O 0.0000 0.0000 0.0000  0.03

Tl3Co3O8: relaxed, PBE+U.

E_tot: -5.20 eV/atom
Space-group type: P2_1 (4)

a = 5.5192 Å, b = 11.4894 Å, c = 5.5253 Å
α = 91.04°, β = 90.03°, γ = 90.00°
Last column: magnetic moment on the atom in μB.
Fractional positions:
1 Tl 0.7953 0.4967 0.2638  0.01
2 Tl 0.2952 0.5033 0.7364  0.01
3 Tl 0.7014 0.1787 0.2693  0.01
4 Tl 0.2013 0.8213 0.7307  0.01
5 Tl 0.6999 0.8219 0.2574  0.01
6 Tl 0.2001 0.1781 0.7424  0.01
7 Co 0.6934 0.0027 0.7971  2.67
8 Co 0.2511 0.3307 0.2481  2.14
9 Co 0.2467 0.6697 0.2375  2.62
10 Co 0.1934 0.9974 0.2029  2.67
11 Co 0.7510 0.6693 0.7519  2.14
12 Co 0.7468 0.3303 0.7625  2.62
13 O 0.9678 0.2832 0.0630  0.00
14 O 0.4677 0.7168 0.9369  0.00
15 O 0.4523 0.2802 0.9727  0.01
16 O 0.9521 0.7198 0.0273  0.01
17 O 0.8369 0.0009 0.1300  0.09
18 O 0.3369 0.9991 0.8700  0.09
19 O 0.1884 0.5022 0.1351  0.08
20 O 0.6884 0.4978 0.8650  0.08
21 O 0.3059 0.1404 0.3621  0.09
22 O 0.8058 0.8597 0.6378  0.09
23 O 0.2972 0.8478 0.3401  0.05
24 O 0.7974 0.1522 0.6599  0.05
25 O 0.5457 0.3642 0.4369  -0.01
26 O 0.0454 0.6358 0.5631  -0.01
27 O 0.0616 0.3667 0.5450  0.00
28 O 0.5614 0.6332 0.4551  0.00

TlCoO: relaxed, PBE+U.

E_tot: -4.56 eV/atom
Space-group type: P1 (1)

a = 3.5898 Å, b = 5.2642 Å, c = 7.6559 Å
α = 105.82°, β = 90.62°, γ = 109.84°
Last column: magnetic moment on the atom in μB.
Fractional positions:
1 Tl 0.9585 0.0111 0.2712  -0.01
2 Tl 0.1617 0.3913 0.9531  -0.05
3 Co 0.6912 0.4613 0.6438  2.17
4 Co 0.4073 0.8926 0.6879  2.42
5 O 0.5046 0.0937 0.5033  0.08
6 O 0.8837 0.8414 0.7643  0.12

TlCoO: relaxed, PBE+U.

E_tot: -4.49 eV/atom
Space-group type: C2/m (12)

a = 3.0076 Å, b = 6.0596 Å, c = 12.2569 Å
α = 90.00°, β = 90.60°, γ = 90.00°
Last column: magnetic moment on the atom in μB.
Fractional positions:
1 Tl 0.9971 0.0000 0.2887  -0.03
2 Tl 0.0029 0.0000 0.7113  -0.03
3 Tl 0.9971 0.5000 0.7887  -0.03
4 Tl 0.0029 0.5000 0.2113  -0.03
5 Co 0.5000 0.0000 0.5000  2.08
6 Co 0.5000 0.5000 0.0000  2.08
7 Co 0.0000 0.0000 0.0000  1.15
8 Co 0.0000 0.5000 0.5000  1.15
9 O 0.5000 0.2969 0.5000  0.04
10 O 0.5000 0.7031 0.5000  0.04
11 O 0.5000 0.7969 0.0000  0.04
12 O 0.5000 0.2031 0.0000  0.04

TlCo3O: relaxed, PBE+U.

E_tot: -4.13 eV/atom
Space-group type: Pm-3m (221)

a = 4.0510 Å, b = 4.0510 Å, c = 4.0510 Å
α = 90.00°, β = 90.00°, γ = 90.00°
Last column: magnetic moment on the atom in μB.
Fractional positions:
1 Tl 0.5000 0.5000 0.5000  -0.04
2 Co 0.0000 0.5000 0.0000  1.98
3 Co 0.0000 0.0000 0.5000  1.74
4 Co 0.5000 0.0000 0.0000  2.21
5 O 0.0000 0.0000 0.0000  0.15

TlCoO: relaxed, PBE+U.

E_tot: -4.39 eV/atom
Space-group type: Pmm2 (25)

a = 3.4363 Å, b = 3.2524 Å, c = 4.6799 Å
α = 90.00°, β = 90.03°, γ = 90.00°
Last column: magnetic moment on the atom in μB.
Fractional positions:
1 Tl 0.9247 0.5000 0.1226  0.01
2 Co 0.4245 0.0000 0.5163  2.43
3 O 0.4246 0.5000 0.7357  0.12

TlCoO2: relaxed, PBE+U.

E_tot: -4.82 eV/atom
Space-group type: R-3m (166)

a = 6.3174 Å, b = 6.3174 Å, c = 6.3174 Å
α = 32.08°, β = 32.08°, γ = 32.08°
Last column: magnetic moment on the atom in μB.
Fractional positions:
1 Tl 0.5000 0.5000 0.5000  0.02
2 Co 0.0000 0.0000 0.0000  2.27
3 O 0.8987 0.8987 0.8987  0.04
4 O 0.1013 0.1013 0.1013  0.04

TlCoO2: relaxed, PBE+U.

E_tot: -5.01 eV/atom
Space-group type: R-3m (166)

a = 6.9624 Å, b = 6.9624 Å, c = 6.9624 Å
α = 24.78°, β = 24.78°, γ = 24.78°
Fractional positions:
1 Tl 0.0000 0.0000 0.0000
2 Co 0.5000 0.5000 0.5000
3 O 0.8791 0.8791 0.8791
4 O 0.1209 0.1209 0.1209

TlCoO: relaxed, PBE+U.

E_tot: -4.55 eV/atom
Space-group type: P2/m (10)

a = 3.5909 Å, b = 4.0485 Å, c = 4.7801 Å
α = 90.01°, β = 119.42°, γ = 90.07°
Last column: magnetic moment on the atom in μB.
Fractional positions:
1 Tl 0.5000 0.5000 0.0000  -0.04
2 Co 0.5000 0.0000 0.5000  2.08
3 O 0.0000 0.0000 0.5000  0.10